1.
First-principles (PBE-GGA) data for crystalline Lu2PuFe at its relaxed geometry, as listed in the Alexandria database.

Values from the calculation:
Energy of formation   0.06 eV/atom
Space-group type   P4/mmm (123)

a = 3.265 Å, b = 3.265 Å, c = 8.635 Å
α = 90.00°, β = 90.00°, γ = 90.00°
Each line ends with the local moment (μB).
Fractional coordinates of all 4 atoms:
1 Lu 0.000 0.000 0.182  -0.07
2 Lu 0.000 0.000 0.818  -0.07
3 Fe 0.500 0.500 0.000  -0.29
4 Pu 0.500 0.500 0.500  -5.77

2.
First-principles (PBE-GGA) data for crystalline LuPuFeRu at its relaxed geometry, as listed in the Alexandria database.

Values from the calculation:
Energy of formation   -0.17 eV/atom
Space-group type   F-43m (216)

a = 4.722 Å, b = 4.722 Å, c = 4.722 Å
α = 60.00°, β = 60.00°, γ = 60.00°
Each line ends with the local moment (μB).
Fractional coordinates of all 4 atoms:
1 Ru 0.500 0.500 0.500  -0.51
2 Lu 0.750 0.750 0.750  0.15
3 Fe 0.000 0.000 0.000  -2.17
4 Pu 0.250 0.250 0.250  5.00

3.
First-principles (PBE-GGA) data for crystalline LuFe4Re at its relaxed geometry, as listed in the Alexandria database.

Values from the calculation:
Energy of formation   0.04 eV/atom
Space-group type   F-43m (216)

a = 4.885 Å, b = 4.885 Å, c = 4.885 Å
α = 60.00°, β = 60.00°, γ = 60.00°
Each line ends with the local moment (μB).
Fractional coordinates of all 6 atoms:
1 Re 0.000 0.000 0.000  0.26
2 Lu 0.250 0.250 0.250  -0.12
3 Fe 0.626 0.626 0.121  2.03
4 Fe 0.626 0.121 0.626  2.03
5 Fe 0.626 0.626 0.626  2.03
6 Fe 0.121 0.626 0.626  2.03

4.
First-principles (PBE-GGA) data for crystalline Lu2FeRh at its relaxed geometry, as listed in the Alexandria database.

Values from the calculation:
Energy of formation   -0.46 eV/atom
Space-group type   P4/mmm (123)
Distance to the lowest polymorph of the same formula   0.000 eV per atom

a = 3.300 Å, b = 3.300 Å, c = 6.632 Å
α = 90.00°, β = 90.00°, γ = 90.00°
Each line ends with the local moment (μB).
Fractional coordinates of all 4 atoms:
1 Lu 0.000 0.000 0.743  -0.09
2 Lu 0.000 0.000 0.257  -0.09
3 Rh 0.500 0.500 0.000  -0.02
4 Fe 0.500 0.500 0.500  0.69

5.
First-principles (PBE-GGA) data for crystalline LuFeRh2 at its relaxed geometry, as listed in the Alexandria database.

Values from the calculation:
Energy of formation   -0.45 eV/atom
Space-group type   P4/mmm (123)
Distance to the lowest polymorph of the same formula   0.023 eV per atom

a = 3.215 Å, b = 3.215 Å, c = 6.249 Å
α = 90.00°, β = 90.00°, γ = 90.00°
Each line ends with the local moment (μB).
Fractional coordinates of all 4 atoms:
1 Lu 0.500 0.500 0.000  -0.02
2 Rh 0.000 0.000 0.724  0.42
3 Rh 0.000 0.000 0.276  0.42
4 Fe 0.500 0.500 0.500  3.25

6.
First-principles (PBE-GGA) data for crystalline Lu2FeRh at its relaxed geometry, as listed in the Alexandria database.

Values from the calculation:
Energy of formation   -0.43 eV/atom
Space-group type   Fm-3m (225)
Distance to the lowest polymorph of the same formula   0.030 eV per atom

a = 4.670 Å, b = 4.670 Å, c = 4.670 Å
α = 60.00°, β = 60.00°, γ = 60.00°
Each line ends with the local moment (μB).
Fractional coordinates of all 4 atoms:
1 Lu 0.250 0.250 0.250  -0.06
2 Lu 0.750 0.750 0.750  -0.06
3 Rh 0.000 0.000 0.000  0.00
4 Fe 0.500 0.500 0.500  0.40

7.
First-principles (PBE-GGA) data for crystalline LuFeRh2 at its relaxed geometry, as listed in the Alexandria database.

Values from the calculation:
Energy of formation   -0.46 eV/atom
Space-group type   Fm-3m (225)
Distance to the lowest polymorph of the same formula   0.010 eV per atom

a = 4.497 Å, b = 4.497 Å, c = 4.497 Å
α = 60.00°, β = 60.00°, γ = 60.00°
Each line ends with the local moment (μB).
Fractional coordinates of all 4 atoms:
1 Lu 0.000 0.000 0.000  -0.06
2 Rh 0.250 0.250 0.250  0.47
3 Rh 0.750 0.750 0.750  0.47
4 Fe 0.500 0.500 0.500  3.21

8.
First-principles (PBE-GGA) data for crystalline LuFeRh2 at its relaxed geometry, as listed in the Alexandria database.

Values from the calculation:
Energy of formation   -0.47 eV/atom
Space-group type   P4/mmm (123)
Distance to the lowest polymorph of the same formula   0.000 eV per atom

a = 3.365 Å, b = 4.367 Å, c = 4.367 Å
α = 90.00°, β = 90.00°, γ = 90.00°
Each line ends with the local moment (μB).
Fractional coordinates of all 4 atoms:
1 Lu 0.500 0.500 0.500  0.10
2 Rh 0.000 0.000 0.500  -0.54
3 Rh 0.000 0.500 0.000  -0.54
4 Fe 0.500 0.000 0.000  -3.22

Which formula does entry 6 have?
Lu2FeRh

energy of formation of number 8 (LuFeRh2)?
-0.47 eV/atom

Which of these has the lowest energy of formation?
number 8

Among the records above, which one has the lowest energy of formation?
number 8